# 1
DFT (PBE) results for a relaxed structure of VCoTcRu2.

Output
raw total energy: -7.36 eV/atom
energy relative to the elements: 8.35 eV/f.u.
calculated density: 7.465 Mg/m³

Unit cell a=4.5818 b=4.5818 c=4.3447 alpha=90.00 beta=90.00 gamma=90.00
Closest atoms and distances in Å follow each position.
Space group P4/mmm (No. 123)
Inequivalent atoms, fractional coordinates:
V 0.0000 0.0000 0.0000 x1  8 Ru 3.16, 4 Co 3.24
Co 0.5000 0.5000 0.0000 x1  2 Tc 2.17
Tc 0.5000 0.5000 0.5000 x1  2 Co 2.17, 4 Ru 2.29
Ru 0.0000 0.5000 0.5000 x2  2 Tc 2.29



# 2
DFT (PBE) results for a relaxed structure of Ga2HBr2.

Output
raw total energy: -2.79 eV/atom
calculated density: 4.522 Mg/m³

Unit cell a=5.7377 b=5.7377 c=6.6989 alpha=90.00 beta=90.00 gamma=90.00
Closest atoms and distances in Å follow each position.
Space group I4/mmm (No. 139)
Inequivalent atoms, fractional coordinates:
Ga 0.0000 0.0000 0.2205 x4  1 H 1.87
H 0.0000 0.0000 0.5000 x2  2 Ga 1.87
Br 0.0000 0.5000 0.2500 x4  4 Ga 2.88



# 3
DFT (PBE) results for a relaxed structure of NbPtAu2.

Output
raw total energy: -5.43 eV/atom
energy relative to the elements: 0.95 eV/f.u.
calculated density: 15.638 Mg/m³

Unit cell a=2.8214 b=2.8214 c=31.5124 alpha=90.00 beta=90.00 gamma=120.00
Closest atoms and distances in Å follow each position.
Space group R-3m (No. 166, hexagonal axes)
Inequivalent atoms, fractional coordinates:
Nb 0.0000 0.0000 0.0000 x3  2 Au 2.76, 6 Nb 2.82
Pt 0.0000 0.0000 0.5000 x3  6 Pt 2.82, 6 Au 2.98
Au 0.0000 0.0000 0.0876 x6  1 Nb 2.76, 6 Au 2.82, 3 Pt 2.98



# 4
DFT (PBE) results for a relaxed structure of CePrSn2.

Output
raw total energy: -5.31 eV/atom
energy relative to the elements: -2.53 eV/f.u.
calculated density: 7.571 Mg/m³

Unit cell a=3.5325 b=3.5325 c=9.1128 alpha=90.00 beta=90.00 gamma=90.00
Closest atoms and distances in Å follow each position.
Space group P4/mmm (No. 123)
Inequivalent atoms, fractional coordinates:
Ce 0.0000 0.0000 0.0000 x1  8 Sn 3.36, 4 Ce 3.53
Pr 0.0000 0.0000 0.5000 x1  8 Sn 3.40, 4 Pr 3.53
Sn 0.5000 0.5000 0.2467 x2  4 Ce 3.36, 4 Pr 3.40, 4 Sn 3.53



# 5
DFT (PBE) results for a relaxed structure of CdH6CBr3N3.

Output
raw total energy: -4.82 eV/atom
calculated density: 2.736 Mg/m³

Unit cell a=9.0466 b=7.0793 c=18.0431 alpha=90.00 beta=119.99 gamma=90.00
Closest atoms and distances in Å follow each position.
Space group P2_1/c (No. 14)
Inequivalent atoms, fractional coordinates:
Cd 0.9997 0.0250 0.2496 x4  6 Br 2.82-2.83
H 0.0955 0.2412 0.5720 x4  1 N 1.02
H 0.0958 0.2445 0.9760 x4  1 N 1.02
H 0.3576 0.2261 0.7034 x4  1 N 1.02
H 0.3582 0.2445 0.9760 x4  1 N 1.02
H 0.4503 0.7261 0.7966 x4  1 N 1.02
H 0.4500 0.7411 0.9279 x4  1 N 1.02
C 0.3345 0.2407 0.5838 x4  3 N 1.34
Br 0.1401 0.7252 0.6794 x4  2 H 2.53-2.54, 2 Cd 2.82-2.83
Br 0.1403 0.7247 0.8908 x4  2 H 2.54, 2 Cd 2.82-2.83
Br 0.2811 0.2252 0.8205 x4  2 H 2.53, 2 Cd 2.82-2.83
N 0.1639 0.2474 0.5411 x4  2 H 1.02
N 0.4196 0.2275 0.6692 x4  2 H 1.02
N 0.4201 0.2473 0.5411 x4  2 H 1.02



# 6
DFT (PBE) results for a relaxed structure of KRuS2.

Output
E_form (uncorrected): 5.34 kcal/mol of atoms
raw total energy: -4.43 eV/atom
calculated density: 4.923 Mg/m³

Unit cell a=6.5079 b=6.5079 c=6.5079 alpha=90.00 beta=90.00 gamma=90.00
Closest atoms and distances in Å follow each position.
Space group Fm-3m (No. 225)
Inequivalent atoms, fractional coordinates:
K 0.0000 0.0000 0.0000 x4  8 S 2.82
Ru 0.0000 0.0000 0.5000 x4  8 S 2.82
S 0.2500 0.2500 0.2500 x8  4 K 2.82, 4 Ru 2.82